1.
A PBEsol-optimized structure of ZrScCd2, computed with SCAN.

Cell: 3.1821 3.1821 8.3679 Å, 90.00 90.00 90.00°
Space group P4mm (No. 99)
Inequivalent atoms, fractional coordinates:
Zr: 0.0000 0.0000 0.0000 x1
Sc: 0.5000 0.5000 0.7435 x1
Cd: 0.0000 0.0000 0.4928 x1
Cd: 0.5000 0.5000 0.2566 x1

Properties
- Polymorph energy (0 for the lowest one): 26.9 kJ/mol of formula units
- Uncorrected energy: -26.66 eV/atom
- ΔE_f: -0.876 eV per formula unit
- Spin magnetization: 0.00 μB per formula unit
- D(E_F): 1.8 states/eV/cell

=====

2.
A PBEsol-optimized structure of Mn3Ag4O8, computed with SCAN.

Cell: 8.7917 8.8526 9.0041 Å, 89.94 89.39 89.72°
Space group P1 (No. 1)
Inequivalent atoms, fractional coordinates:
Mn: 0.0000 0.0000 0.0000 x1
Mn: 0.0372 0.7502 0.7975 x1
Mn: 0.0813 0.5427 0.5435 x1
Mn: 0.2469 0.7925 0.0454 x1
Mn: 0.2923 0.5857 0.2945 x1
Mn: 0.3336 0.3318 0.4985 x1
Mn: 0.4964 0.8349 0.2485 x1
Mn: 0.5440 0.0754 0.4575 x1
Mn: 0.5852 0.2840 0.6989 x1
Mn: 0.7505 0.0379 0.2039 x1
Mn: 0.7886 0.2454 0.9515 x1
Mn: 0.8317 0.4986 0.7508 x1
Ag: 0.0113 0.1414 0.6400 x1
Ag: 0.0367 0.4330 0.1153 x1
Ag: 0.0705 0.1855 0.3270 x1
Ag: 0.1820 0.3008 0.8435 x1
Ag: 0.1993 0.9275 0.4847 x1
Ag: 0.3807 0.9539 0.7445 x1
Ag: 0.3983 0.1288 0.9994 x1
Ag: 0.4218 0.4621 0.9579 x1
Ag: 0.4317 0.6478 0.7110 x1
Ag: 0.5234 0.3219 0.2091 x1
Ag: 0.6434 0.8131 0.8900 x1
Ag: 0.6658 0.6641 0.4902 x1
Ag: 0.6752 0.5726 0.1041 x1
Ag: 0.8089 0.3832 0.3531 x1
Ag: 0.8784 0.8944 0.5139 x1
Ag: 0.9093 0.7122 0.2561 x1
O: 0.0107 0.9569 0.7973 x1
O: 0.0268 0.7808 0.0126 x1
O: 0.0522 0.5278 0.7575 x1
O: 0.0649 0.7512 0.5883 x1
O: 0.0832 0.5748 0.3379 x1
O: 0.1213 0.3324 0.5236 x1
O: 0.2060 0.9980 0.0355 x1
O: 0.2489 0.7676 0.8364 x1
O: 0.2578 0.5842 0.0887 x1
O: 0.2792 0.8034 0.2631 x1
O: 0.3006 0.5530 0.5118 x1
O: 0.3078 0.3761 0.2947 x1
O: 0.3354 0.1246 0.4658 x1
O: 0.3754 0.3208 0.7000 x1
O: 0.4553 0.8246 0.0440 x1
O: 0.5026 0.6253 0.2774 x1
O: 0.5134 0.8679 0.4530 x1
O: 0.5299 0.0496 0.2375 x1
O: 0.5563 0.2985 0.4863 x1
O: 0.5690 0.0771 0.6608 x1
O: 0.5789 0.2604 0.9069 x1
O: 0.6244 0.4929 0.7158 x1
O: 0.7082 0.8333 0.2093 x1
O: 0.7511 0.0654 0.4105 x1
O: 0.7545 0.2478 0.1606 x1
O: 0.7786 0.0289 0.9881 x1
O: 0.8060 0.2763 0.7390 x1
O: 0.8198 0.4547 0.9545 x1
O: 0.8294 0.7069 0.7777 x1
O: 0.8709 0.5142 0.5431 x1
O: 0.9590 0.0153 0.2043 x1
O: 0.9979 0.2111 0.9730 x1

Properties
- Polymorph energy (0 for the lowest one): 7.1 kJ/mol of formula units
- Uncorrected energy: -16.70 eV/atom
- Spin magnetization: 8.98 μB per formula unit
- Uncorrected formation energy: -1357 meV/atom

=====

3.
A PBEsol-optimized structure of Li6VFe5O12, computed with SCAN.

Cell: 4.7666 8.2466 9.8418 Å, 90.00 99.22 90.00°
Space group C2 (No. 5)
Inequivalent atoms, fractional coordinates:
Li: 0.0793 0.0000 0.2535 x4
Li: 0.0801 0.3381 0.2531 x4
Li: 0.0912 0.6630 0.2519 x4
V: 0.0000 0.8135 0.5000 x2
Fe: 0.0000 0.0010 0.0000 x2
Fe: 0.0000 0.1745 0.5000 x2
Fe: 0.0000 0.3329 0.0000 x2
Fe: 0.0000 0.5123 0.5000 x2
Fe: 0.0000 0.6688 0.0000 x2
O: 0.1287 0.5007 0.8894 x4
O: 0.1301 0.8349 0.8877 x4
O: 0.1309 0.1671 0.8880 x4
O: 0.1984 0.0014 0.6088 x4
O: 0.2003 0.3411 0.6135 x4
O: 0.2174 0.6636 0.6228 x4

Properties
- Uncorrected energy: -10.18 eV/atom
- Spin magnetization: 3.00 μB per formula unit
- D(E_F): 10.9 states/eV/cell
- Uncorrected formation energy: -1957 meV/atom

=====

4.
A PBEsol-optimized structure of LiVCO3F2, computed with SCAN.

Cell: 5.5728 6.5366 8.9326 Å, 90.00 90.00 90.00°
Space group Pnma (No. 62)
Inequivalent atoms, fractional coordinates:
Li: 0.2358 0.2500 0.2290 x4
V: 0.0294 0.2500 0.6148 x4
C: 0.0309 0.7500 0.0519 x4
O: 0.1268 0.7500 0.1868 x4
O: 0.1914 0.2500 0.9754 x4
O: 0.1942 0.7500 0.9502 x4
F: 0.0443 0.5357 0.6556 x8

Properties
- Uncorrected energy: -9.31 eV/atom
- Spin magnetization: 2.00 μB per formula unit
- Uncorrected formation energy: -2346 meV/atom

=====

5.
A PBEsol-optimized structure of Be3HRu, computed with SCAN.

Cell: 4.1375 4.1375 4.1375 Å, 90.00 90.00 90.00°
Space group Pm-3m (No. 221)
Inequivalent atoms, fractional coordinates:
Be: 0.0000 0.0000 0.5000 x3
H: 0.5000 0.5000 0.5000 x1
Ru: 0.0000 0.0000 0.0000 x1

Properties
- Uncorrected energy: -9.02 eV/atom
- Spin magnetization: 0.56 μB per formula unit
- D(E_F): 1.7 states/eV/cell

=====

6.
A PBEsol-optimized structure of Cd3HF, computed with SCAN.

Cell: 4.7279 4.7279 4.7279 Å, 90.00 90.00 90.00°
Space group Pm-3m (No. 221)
Inequivalent atoms, fractional coordinates:
Cd: 0.0000 0.0000 0.5000 x3
H: 0.5000 0.5000 0.5000 x1
F: 0.0000 0.0000 0.0000 x1

Properties
- Uncorrected energy: -19.42 eV/atom
- Spin magnetization: 0.00 μB per formula unit
- D(E_F): 2.2 states/eV/cell

=====

7.
A PBEsol-optimized structure of Sr2LiRuAu, computed with SCAN.

Cell: 5.6494 5.6494 4.9816 Å, 90.00 90.00 90.00°
Space group P4/mmm (No. 123)
Inequivalent atoms, fractional coordinates:
Sr: 0.0000 0.5000 0.0000 x2
Li: 0.0000 0.0000 0.5000 x1
Ru: 0.5000 0.5000 0.0000 x1
Au: 0.5000 0.5000 0.5000 x1

Properties
- Uncorrected energy: -29.94 eV/atom
- ΔE_f: 1.215 eV per formula unit
- Spin magnetization: 1.07 μB per formula unit
- D(E_F): 3.0 states/eV/cell

=====

8.
A PBEsol-optimized structure of Li3V2P4H2O16, computed with SCAN.

Cell: 7.7458 7.8992 9.6454 Å, 90.00 112.31 90.00°
Space group P2_1 (No. 4)
Inequivalent atoms, fractional coordinates:
Li: 0.0974 0.0000 0.2256 x2
Li: 0.0975 0.9943 0.7276 x2
Li: 0.4019 0.7368 0.7756 x2
V: 0.2535 0.3717 0.2519 x2
V: 0.2574 0.3623 0.7496 x2
P: 0.0131 0.7152 0.0676 x2
P: 0.0143 0.7090 0.5657 x2
P: 0.4842 0.0203 0.9351 x2
P: 0.4887 0.0188 0.4327 x2
H: 0.2422 0.8574 0.0107 x2
H: 0.2586 0.8731 0.4943 x2
O: 0.0600 0.5424 0.1460 x2
O: 0.0632 0.5360 0.6446 x2
O: 0.0954 0.3219 0.8578 x2
O: 0.0962 0.3145 0.3597 x2
O: 0.1049 0.1941 0.1012 x2
O: 0.1062 0.1865 0.6028 x2
O: 0.1931 0.8189 0.0963 x2
O: 0.1955 0.8082 0.5939 x2
O: 0.2998 0.9323 0.4083 x2
O: 0.3062 0.9148 0.9038 x2
O: 0.3888 0.5360 0.4005 x2
O: 0.3954 0.5399 0.8960 x2
O: 0.4024 0.4117 0.6412 x2
O: 0.4026 0.4199 0.1402 x2
O: 0.4305 0.1966 0.8666 x2
O: 0.4412 0.1902 0.3508 x2

Properties
- Uncorrected energy: -9.47 eV/atom
- Spin magnetization: 3.00 μB per formula unit
- D(E_F): 9.6 states/eV/cell